(1)
Material: RbNaS2Cl
Method: DFT, GGA-PBE
State: relaxed

Results
Crystal system: tetragonal
SG: P4/mmm

Unit cell a=6.1283 b=6.1283 c=6.1087 alpha=90.00 beta=90.00 gamma=90.00
Last column: nearest neighbours and their distance in Å.
Fractional coordinates of all 5 atoms:
Rb 0.0000 0.0000 0.0000  2 Cl 3.05, 4 S 3.06
Na 0.5000 0.5000 0.5000  8 S 4.33, 4 Cl 4.33
S 0.0000 0.5000 0.0000  2 Rb 3.06
S 0.5000 0.0000 0.0000  2 Rb 3.06
Cl 0.0000 0.0000 0.5000  2 Rb 3.05

(2)
Material: RbNaS2Cl
Method: DFT, GGA-PBE
State: relaxed

Results
Crystal system: tetragonal
SG: P4/mmm

Unit cell a=5.3492 b=5.3492 c=5.4703 alpha=90.00 beta=90.00 gamma=90.00
Last column: nearest neighbours and their distance in Å.
Fractional coordinates of all 5 atoms:
Rb 0.0000 0.0000 0.0000  4 Cl 3.78, 8 S 3.83
Na 0.5000 0.5000 0.5000  4 S 2.67, 2 Cl 2.74
S 0.0000 0.5000 0.5000  2 Na 2.67
S 0.5000 0.0000 0.5000  2 Na 2.67
Cl 0.5000 0.5000 0.0000  2 Na 2.74

Least stable: (1)

(1)
Material: Rb2NaSbCl6
Method: DFT, GGA-PBE
State: relaxed

Results
Crystal system: cubic
SG: Fm-3m

Unit cell a=7.6687 b=7.6687 c=7.6687 alpha=60.00 beta=60.00 gamma=60.00
Last column: nearest neighbours and their distance in Å.
Fractional coordinates of all 10 atoms:
Rb 0.2500 0.2500 0.2500  12 Cl 3.83
Rb 0.7500 0.7500 0.7500  12 Cl 3.83
Na 0.0000 0.0000 0.0000  6 Cl 2.76
Sb 0.5000 0.5000 0.5000  6 Cl 2.66
Cl 0.2549 0.2549 0.7451  1 Sb 2.66, 1 Na 2.76
Cl 0.2549 0.7451 0.2549  1 Sb 2.66, 1 Na 2.76
Cl 0.2549 0.7451 0.7451  1 Sb 2.66, 1 Na 2.76
Cl 0.7451 0.2549 0.2549  1 Sb 2.66, 1 Na 2.76
Cl 0.7451 0.2549 0.7451  1 Sb 2.66, 1 Na 2.76
Cl 0.7451 0.7451 0.2549  1 Sb 2.66, 1 Na 2.76

(2)
Material: Rb2NaSbCl6
Method: DFT, GGA-PBE
State: relaxed

Results
Crystal system: monoclinic
SG: P2_1/c

Unit cell a=7.5339 b=7.7481 c=13.1240 alpha=90.00 beta=124.99 gamma=90.00
Last column: nearest neighbours and their distance in Å.
Fractional coordinates of all 20 atoms:
Rb 0.2351 0.0565 0.2498  8 Cl 3.36-3.72
Rb 0.2351 0.4435 0.7498  8 Cl 3.36-3.72
Rb 0.7649 0.5565 0.2502  8 Cl 3.36-3.72
Rb 0.7649 0.9435 0.7502  8 Cl 3.36-3.72
Na 0.0000 0.0000 0.5000  6 Cl 2.82-2.87
Na 0.0000 0.5000 0.0000  6 Cl 2.82-2.87
Sb 0.5000 0.0000 0.0000  6 Cl 2.68
Sb 0.5000 0.5000 0.5000  6 Cl 2.68
Cl 0.1749 0.1987 0.9609  1 Sb 2.68, 1 Na 2.87
Cl 0.1749 0.3013 0.4609  1 Sb 2.68, 1 Na 2.87
Cl 0.2651 0.7158 0.9613  1 Sb 2.68, 1 Na 2.86
Cl 0.2651 0.7842 0.4613  1 Sb 2.68, 1 Na 2.86
Cl 0.3321 0.0153 0.7570  1 Sb 2.68, 1 Na 2.82
Cl 0.3321 0.4847 0.2570  1 Sb 2.68, 1 Na 2.82
Cl 0.6679 0.5153 0.7430  1 Sb 2.68, 1 Na 2.82
Cl 0.6679 0.9847 0.2430  1 Sb 2.68, 1 Na 2.82
Cl 0.7349 0.2158 0.5387  1 Sb 2.68, 1 Na 2.86
Cl 0.7349 0.2842 0.0387  1 Sb 2.68, 1 Na 2.86
Cl 0.8251 0.6987 0.5391  1 Sb 2.68, 1 Na 2.87
Cl 0.8251 0.8013 0.0391  1 Sb 2.68, 1 Na 2.87

Least stable: (1)

(1)
Material: NaReCl3
Method: DFT, GGA-PBE
State: relaxed

Results
Crystal system: cubic
SG: Pm-3m

Unit cell a=4.9288 b=4.9288 c=4.9288 alpha=90.00 beta=90.00 gamma=90.00
Last column: nearest neighbours and their distance in Å.
Fractional coordinates of all 5 atoms:
Na 0.0000 0.0000 0.0000  12 Cl 3.49
Re 0.5000 0.5000 0.5000  6 Cl 2.46
Cl 0.0000 0.5000 0.5000  2 Re 2.46
Cl 0.5000 0.0000 0.5000  2 Re 2.46
Cl 0.5000 0.5000 0.0000  2 Re 2.46

(2)
Material: NaReCl3
Method: DFT, GGA-PBE
State: relaxed

Results
Crystal system: cubic
SG: Pm-3m

Unit cell a=4.9805 b=4.9805 c=4.9805 alpha=90.00 beta=90.00 gamma=90.00
Last column: nearest neighbours and their distance in Å.
Fractional coordinates of all 5 atoms:
Na 0.0000 0.0000 0.0000  6 Cl 2.49
Re 0.5000 0.5000 0.5000  12 Cl 3.52
Cl 0.0000 0.0000 0.5000  2 Na 2.49
Cl 0.0000 0.5000 0.0000  2 Na 2.49
Cl 0.5000 0.0000 0.0000  2 Na 2.49

Least stable: (2)

(1)
Material: Na3ReCl
Method: DFT, GGA-PBE
State: relaxed

Results
Crystal system: cubic
SG: Pm-3m

Unit cell a=5.2318 b=5.2318 c=5.2318 alpha=90.00 beta=90.00 gamma=90.00
Last column: nearest neighbours and their distance in Å.
Fractional coordinates of all 5 atoms:
Na 0.0000 0.0000 0.5000  2 Cl 2.62
Na 0.0000 0.5000 0.0000  2 Cl 2.62
Na 0.5000 0.0000 0.0000  2 Cl 2.62
Re 0.5000 0.5000 0.5000  12 Na 3.70
Cl 0.0000 0.0000 0.0000  6 Na 2.62

(2)
Material: Na3ReCl
Method: DFT, GGA-PBE
State: relaxed

Results
Crystal system: cubic
SG: Pm-3m

Unit cell a=5.8642 b=5.8642 c=5.8642 alpha=90.00 beta=90.00 gamma=90.00
Last column: nearest neighbours and their distance in Å.
Fractional coordinates of all 5 atoms:
Na 0.0000 0.0000 0.5000  2 Re 2.93
Na 0.0000 0.5000 0.0000  2 Re 2.93
Na 0.5000 0.0000 0.0000  2 Re 2.93
Re 0.0000 0.0000 0.0000  6 Na 2.93
Cl 0.5000 0.5000 0.5000  12 Na 4.15

Least stable: (2)

(1)
Material: NaRe3Cl
Method: DFT, GGA-PBE
State: relaxed

Results
Crystal system: cubic
SG: Pm-3m

Unit cell a=4.4120 b=4.4120 c=4.4120 alpha=90.00 beta=90.00 gamma=90.00
Last column: nearest neighbours and their distance in Å.
Fractional coordinates of all 5 atoms:
Na 0.0000 0.0000 0.0000  12 Re 3.12
Re 0.0000 0.5000 0.5000  2 Cl 2.21
Re 0.5000 0.0000 0.5000  2 Cl 2.21
Re 0.5000 0.5000 0.0000  2 Cl 2.21
Cl 0.5000 0.5000 0.5000  6 Re 2.21

(2)
Material: NaRe3Cl
Method: DFT, GGA-PBE
State: relaxed

Results
Crystal system: cubic
SG: Pm-3m

Unit cell a=4.7108 b=4.7108 c=4.7108 alpha=90.00 beta=90.00 gamma=90.00
Last column: nearest neighbours and their distance in Å.
Fractional coordinates of all 5 atoms:
Na 0.0000 0.0000 0.0000  6 Re 2.36
Re 0.0000 0.0000 0.5000  2 Na 2.36
Re 0.0000 0.5000 0.0000  2 Na 2.36
Re 0.5000 0.0000 0.0000  2 Na 2.36
Cl 0.5000 0.5000 0.5000  12 Re 3.33

Least stable: (2)

(1)
Material: Na2ReCl8
Method: DFT, GGA-PBE
State: relaxed

Results
Crystal system: monoclinic
SG: C2/m

Unit cell a=10.4011 b=10.4011 c=6.2496 alpha=95.31 beta=95.31 gamma=26.61
Last column: nearest neighbours and their distance in Å.
Fractional coordinates of all 11 atoms:
Na 0.2268 0.2268 0.2224  2 Cl 2.64
Na 0.7732 0.7732 0.7776  2 Cl 2.64
Re 0.5000 0.5000 0.0000  4 Cl 2.28-2.39
Cl 0.0326 0.0326 0.8299  3 Cl 2.61-2.63, 2 Re 2.73
Cl 0.2177 0.2177 0.7460  2 Na 2.64
Cl 0.4024 0.4024 0.7841  1 Re 2.28
Cl 0.4370 0.4370 0.3042  1 Re 2.39, 2 Cl 2.63
Cl 0.5630 0.5630 0.6958  1 Re 2.39, 2 Cl 2.63
Cl 0.5976 0.5976 0.2159  1 Re 2.28
Cl 0.7823 0.7823 0.2540  2 Na 2.64
Cl 0.9674 0.9674 0.1701  3 Cl 2.61-2.63, 2 Re 2.73

(2)
Material: Na2ReCl8
Method: DFT, GGA-PBE
State: relaxed

Results
Crystal system: monoclinic
SG: C2/m

Unit cell a=7.7856 b=7.7856 c=7.1418 alpha=97.44 beta=97.44 gamma=47.65
Last column: nearest neighbours and their distance in Å.
Fractional coordinates of all 11 atoms:
Na 0.1716 0.1716 0.0745  2 Cl 2.62-2.87
Na 0.8284 0.8284 0.9255  2 Cl 2.62-2.87
Re 0.0000 0.0000 0.5000  6 Cl 2.30-2.32
Cl 0.1601 0.1601 0.4725  1 Re 2.32
Cl 0.2264 0.7200 0.2665  1 Re 2.30
Cl 0.2800 0.7736 0.7335  1 Re 2.30
Cl 0.3167 0.3167 0.8856  1 Na 2.62
Cl 0.6833 0.6833 0.1144  1 Na 2.62
Cl 0.7200 0.2264 0.2665  1 Re 2.30
Cl 0.7736 0.2800 0.7335  1 Re 2.30
Cl 0.8399 0.8399 0.5275  1 Re 2.32

Least stable: (1)

(1)
Material: Na2ReCl6
Method: DFT, GGA-PBE
State: relaxed

Results
Crystal system: tetragonal
SG: P4_2/mnm

Unit cell a=6.3313 b=6.3313 c=11.9855 alpha=90.00 beta=90.00 gamma=90.00
Last column: nearest neighbours and their distance in Å.
Fractional coordinates of all 18 atoms:
Na 0.0000 0.0000 0.1657  6 Cl 2.82-2.89
Na 0.0000 0.0000 0.8343  6 Cl 2.82-2.89
Na 0.5000 0.5000 0.3343  6 Cl 2.82-2.89
Na 0.5000 0.5000 0.6657  6 Cl 2.82-2.89
Re 0.0000 0.0000 0.5000  6 Cl 2.38
Re 0.5000 0.5000 0.0000  6 Cl 2.38
Cl 0.1838 0.1838 0.3567  1 Re 2.38
Cl 0.1838 0.1838 0.6433  1 Re 2.38
Cl 0.2338 0.2338 0.0000  1 Re 2.38
Cl 0.2662 0.7338 0.5000  1 Re 2.38
Cl 0.3162 0.6838 0.1433  1 Re 2.38
Cl 0.3162 0.6838 0.8567  1 Re 2.38
Cl 0.6838 0.3162 0.1433  1 Re 2.38
Cl 0.6838 0.3162 0.8567  1 Re 2.38
Cl 0.7338 0.2662 0.5000  1 Re 2.38
Cl 0.7662 0.7662 0.0000  1 Re 2.38
Cl 0.8162 0.8162 0.3567  1 Re 2.38
Cl 0.8162 0.8162 0.6433  1 Re 2.38

(2)
Material: Na2ReCl6
Method: DFT, GGA-PBE
State: relaxed

Results
Crystal system: monoclinic
SG: P2_1/c

Unit cell a=6.6996 b=7.0394 c=11.6545 alpha=90.00 beta=122.35 gamma=90.00
Last column: nearest neighbours and their distance in Å.
Fractional coordinates of all 18 atoms:
Na 0.1940 0.0875 0.2303  6 Cl 2.85-3.09
Na 0.1940 0.4125 0.7303  6 Cl 2.85-3.09
Na 0.8060 0.5875 0.2697  6 Cl 2.85-3.09
Na 0.8060 0.9125 0.7697  6 Cl 2.85-3.09
Re 0.5000 0.0000 0.0000  6 Cl 2.38
Re 0.5000 0.5000 0.5000  6 Cl 2.38
Cl 0.1622 0.1838 0.9466  1 Re 2.38
Cl 0.1622 0.3162 0.4466  1 Re 2.38
Cl 0.2648 0.7197 0.9300  1 Re 2.38
Cl 0.2648 0.7803 0.4300  1 Re 2.38
Cl 0.4086 0.0467 0.7746  1 Re 2.38
Cl 0.4086 0.4533 0.2746  1 Re 2.38
Cl 0.5914 0.5467 0.7254  1 Re 2.38
Cl 0.5914 0.9533 0.2254  1 Re 2.38
Cl 0.7352 0.2197 0.5700  1 Re 2.38
Cl 0.7352 0.2803 0.0700  1 Re 2.38
Cl 0.8378 0.6838 0.5534  1 Re 2.38
Cl 0.8378 0.8162 0.0534  1 Re 2.38

Least stable: (1)

(1)
Material: NaRhCl2
Method: DFT, GGA-PBE
State: relaxed

Results
Crystal system: tetragonal
SG: I-42d

Unit cell a=7.5916 b=7.5916 c=7.5916 alpha=135.82 beta=135.82 gamma=64.25
Last column: nearest neighbours and their distance in Å.
Fractional coordinates of all 8 atoms:
Na 0.0000 0.0000 0.0000  4 Cl 2.70
Na 0.7500 0.2500 0.5000  4 Cl 2.70
Rh 0.2500 0.7500 0.5000  4 Cl 2.48
Rh 0.5000 0.5000 0.0000  4 Cl 2.48
Cl 0.1598 0.6250 0.0348  2 Rh 2.48, 2 Na 2.70
Cl 0.3750 0.4098 0.5348  2 Rh 2.48, 2 Na 2.70
Cl 0.5902 0.1250 0.9652  2 Rh 2.48, 2 Na 2.70
Cl 0.8750 0.8402 0.4652  2 Rh 2.48, 2 Na 2.70

(2)
Material: NaRhCl2
Method: DFT, GGA-PBE
State: relaxed

Results
Crystal system: trigonal
SG: R-3m

Unit cell a=8.3351 b=8.3351 c=8.3351 alpha=24.40 beta=24.40 gamma=24.40
Last column: nearest neighbours and their distance in Å.
Fractional coordinates of all 4 atoms:
Na 0.0000 0.0000 0.0000  6 Cl 2.68
Rh 0.5000 0.5000 0.5000  2 Cl 2.29
Cl 0.4055 0.4055 0.4055  1 Rh 2.29
Cl 0.5945 0.5945 0.5945  1 Rh 2.29

(3)
Material: NaRhCl2
Method: DFT, GGA-PBE
State: relaxed

Results
Crystal system: cubic
SG: Fm-3m

Unit cell a=4.7253 b=4.7253 c=4.7253 alpha=60.00 beta=60.00 gamma=60.00
Last column: nearest neighbours and their distance in Å.
Fractional coordinates of all 4 atoms:
Na 0.0000 0.0000 0.0000  8 Cl 2.89
Rh 0.5000 0.5000 0.5000  8 Cl 2.89
Cl 0.2500 0.2500 0.2500  4 Na 2.89, 4 Rh 2.89
Cl 0.7500 0.7500 0.7500  4 Na 2.89, 4 Rh 2.89

Least stable: (3)

(1)
Material: NaRhCl4
Method: DFT, GGA-PBE
State: relaxed

Results
Crystal system: monoclinic
SG: C2/c

Unit cell a=8.5694 b=8.5694 c=6.1519 alpha=102.93 beta=102.93 gamma=127.71
Last column: nearest neighbours and their distance in Å.
Fractional coordinates of all 12 atoms:
Na 0.1909 0.8091 0.7500  6 Cl 2.78-3.00
Na 0.8091 0.1909 0.2500  6 Cl 2.78-3.00
Rh 0.4432 0.5568 0.7500  6 Cl 2.35-2.40
Rh 0.5568 0.4432 0.2500  6 Cl 2.35-2.40
Cl 0.1197 0.4484 0.7619  1 Rh 2.35
Cl 0.2474 0.3530 0.3042  2 Rh 2.37-2.40
Cl 0.3530 0.2474 0.8042  2 Rh 2.37-2.40
Cl 0.4484 0.1197 0.2619  1 Rh 2.35
Cl 0.5516 0.8803 0.7381  1 Rh 2.35
Cl 0.6470 0.7526 0.1958  2 Rh 2.37-2.40
Cl 0.7526 0.6470 0.6958  2 Rh 2.37-2.40
Cl 0.8803 0.5516 0.2381  1 Rh 2.35

(2)
Material: NaRhCl4
Method: DFT, GGA-PBE
State: relaxed

Results
Crystal system: monoclinic
SG: C2/m

Unit cell a=6.1960 b=6.1960 c=7.0203 alpha=101.26 beta=101.26 gamma=33.94
Last column: nearest neighbours and their distance in Å.
Fractional coordinates of all 6 atoms:
Na 0.0000 0.0000 0.0000  6 Cl 2.74-2.94
Rh 0.5000 0.5000 0.5000  6 Cl 2.37-2.39
Cl 0.1117 0.1117 0.4150  2 Rh 2.39
Cl 0.3838 0.3838 0.1819  1 Rh 2.37
Cl 0.6162 0.6162 0.8181  1 Rh 2.37
Cl 0.8883 0.8883 0.5850  2 Rh 2.39

Least stable: (2)

(1)
Material: Na2RhCl
Method: DFT, GGA-PBE
State: relaxed

Results
Crystal system: cubic
SG: Fm-3m

Unit cell a=4.9575 b=4.9575 c=4.9575 alpha=60.00 beta=60.00 gamma=60.00
Last column: nearest neighbours and their distance in Å.
Fractional coordinates of all 4 atoms:
Na 0.2500 0.2500 0.2500  4 Cl 3.04, 4 Rh 3.04
Na 0.7500 0.7500 0.7500  4 Rh 3.04, 4 Cl 3.04
Rh 0.0000 0.0000 0.0000  8 Na 3.04
Cl 0.5000 0.5000 0.5000  8 Na 3.04

(2)
Material: Na2RhCl
Method: DFT, GGA-PBE
State: relaxed

Results
Crystal system: tetragonal
SG: I-42d

Unit cell a=6.1383 b=6.1383 c=6.1383 alpha=100.15 beta=100.15 gamma=130.35
Last column: nearest neighbours and their distance in Å.
Fractional coordinates of all 8 atoms:
Na 0.0883 0.6250 0.9633  2 Na 2.64, 2 Cl 2.67
Na 0.3750 0.3383 0.4633  2 Na 2.64, 2 Cl 2.67
Na 0.6617 0.1250 0.0367  2 Na 2.64, 2 Cl 2.67
Na 0.8750 0.9117 0.5367  2 Na 2.64, 2 Cl 2.67
Rh 0.2500 0.7500 0.5000  2 Cl 2.58
Rh 0.5000 0.5000 0.0000  2 Cl 2.58
Cl 0.0000 0.0000 0.0000  2 Rh 2.58, 4 Na 2.67
Cl 0.7500 0.2500 0.5000  2 Rh 2.58, 4 Na 2.67

Least stable: (1)

(1)
Material: NaRh2Cl
Method: DFT, GGA-PBE
State: relaxed

Results
Crystal system: cubic
SG: Fm-3m

Unit cell a=4.5325 b=4.5325 c=4.5325 alpha=60.00 beta=60.00 gamma=60.00
Last column: nearest neighbours and their distance in Å.
Fractional coordinates of all 4 atoms:
Na 0.0000 0.0000 0.0000  8 Rh 2.78
Rh 0.2500 0.2500 0.2500  4 Cl 2.78, 4 Na 2.78
Rh 0.7500 0.7500 0.7500  4 Cl 2.78, 4 Na 2.78
Cl 0.5000 0.5000 0.5000  8 Rh 2.78

(2)
Material: NaRh2Cl
Method: DFT, GGA-PBE
State: relaxed

Results
Crystal system: tetragonal
SG: I-42d

Unit cell a=8.3963 b=8.3963 c=8.3963 alpha=146.17 beta=146.17 gamma=48.59
Last column: nearest neighbours and their distance in Å.
Fractional coordinates of all 8 atoms:
Na 0.0000 0.0000 0.0000  4 Rh 3.08, 4 Cl 3.45
Na 0.7500 0.2500 0.5000  4 Rh 3.08, 4 Cl 3.45
Rh 0.3026 0.1250 0.6776  2 Cl 2.30, 2 Rh 2.54
Rh 0.3750 0.6974 0.8224  2 Cl 2.30, 2 Rh 2.54
Rh 0.4474 0.6250 0.3224  2 Cl 2.30, 2 Rh 2.54
Rh 0.8750 0.5526 0.1776  2 Cl 2.30, 2 Rh 2.54
Cl 0.2500 0.7500 0.5000  4 Rh 2.30
Cl 0.5000 0.5000 0.0000  4 Rh 2.30

Least stable: (1)